<P>
The following is a DFT calculation (PBE-GGA) of NbSe2NCl after structural relaxation.

Unit cell a=5.161 b=5.161 c=3.985 alpha=90.00 beta=90.00 gamma=90.00
Fractional positions:
Nb (0.000, 0.000, 0.000)
Se (0.000, 0.500, 0.000)
Se (0.500, 0.000, 0.000)
N (0.000, 0.000, 0.500)
Cl (0.500, 0.500, 0.500)

Properties
volume	21.23	A^3/atom
space group	P4/mmm, No. 123

=====

<Q>
The following is a DFT calculation (PBE-GGA) of NbSe2NCl after structural relaxation.

Unit cell a=4.730 b=4.730 c=4.133 alpha=90.00 beta=90.00 gamma=90.00
Fractional positions:
Nb (0.000, 0.000, 0.000)
Se (0.000, 0.500, 0.500)
Se (0.500, 0.000, 0.500)
N (0.000, 0.000, 0.500)
Cl (0.500, 0.500, 0.000)

Properties
volume	18.49	A^3/atom
space group	P4/mmm, No. 123

=====

<R>
The following is a DFT calculation (PBE-GGA) of NbSe2NCl after structural relaxation.

Unit cell a=5.093 b=5.093 c=3.377 alpha=90.00 beta=90.00 gamma=90.00
Fractional positions:
Nb (0.000, 0.000, 0.000)
Se (0.000, 0.500, 0.500)
Se (0.500, 0.000, 0.500)
N (0.500, 0.500, 0.000)
Cl (0.500, 0.500, 0.500)

Properties
volume	17.52	A^3/atom
space group	P4/mmm, No. 123

=====

Stability check: which of them is least stable? <R>.

=====

<P>
The following is a DFT calculation (PBE-GGA) of NbTeN2Cl after structural relaxation.

Unit cell a=4.038 b=4.038 c=5.964 alpha=90.00 beta=90.00 gamma=90.00
Fractional positions:
Nb (0.000, 0.000, 0.000)
Te (0.000, 0.000, 0.500)
N (0.000, 0.500, 0.000)
N (0.500, 0.000, 0.000)
Cl (0.500, 0.500, 0.500)

Properties
volume	19.45	A^3/atom
space group	P4/mmm, No. 123

=====

<Q>
The following is a DFT calculation (PBE-GGA) of NbTeN2Cl after structural relaxation.

Unit cell a=4.077 b=4.077 c=4.993 alpha=90.00 beta=90.00 gamma=90.00
Fractional positions:
Nb (0.000, 0.000, 0.000)
Te (0.500, 0.500, 0.000)
N (0.000, 0.500, 0.500)
N (0.500, 0.000, 0.500)
Cl (0.500, 0.500, 0.500)

Properties
volume	16.60	A^3/atom
space group	P4/mmm, No. 123

=====

Stability check: which of them is least stable? <Q>.

=====

<P>
The following is a DFT calculation (PBE-GGA) of NiNCl2 after structural relaxation.

Unit cell a=4.272 b=4.272 c=4.272 alpha=60.00 beta=60.00 gamma=60.00
Fractional positions:
Ni (0.000, 0.000, 0.000)
N (0.500, 0.500, 0.500)
Cl (0.250, 0.250, 0.250)
Cl (0.750, 0.750, 0.750)

Properties
volume	13.78	A^3/atom
space group	Fm-3m, No. 225

=====

<Q>
The following is a DFT calculation (PBE-GGA) of NiNCl2 after structural relaxation.

Unit cell a=6.893 b=6.893 c=6.893 alpha=28.62 beta=28.62 gamma=28.62
Fractional positions:
Ni (0.000, 0.000, 0.000)
N (0.500, 0.500, 0.500)
Cl (0.401, 0.401, 0.401)
Cl (0.599, 0.599, 0.599)

Properties
volume	16.60	A^3/atom
space group	R-3m, No. 166

=====

Stability check: which of them is least stable? <P>.

=====

<P>
The following is a DFT calculation (PBE-GGA) of NiNCl2 after structural relaxation.

Unit cell a=6.961 b=6.961 c=6.961 alpha=140.63 beta=140.63 gamma=56.90
Fractional positions:
Ni (0.000, 0.000, 0.000)
Ni (0.750, 0.250, 0.500)
N (0.250, 0.750, 0.500)
N (0.500, 0.500, 0.000)
Cl (0.131, 0.625, 0.006)
Cl (0.375, 0.381, 0.506)
Cl (0.619, 0.125, 0.994)
Cl (0.875, 0.869, 0.494)

Properties
volume	16.83	A^3/atom
space group	I-42d, No. 122

=====

<Q>
The following is a DFT calculation (PBE-GGA) of NiNCl2 after structural relaxation.

Unit cell a=9.464 b=9.464 c=6.011 alpha=95.99 beta=95.99 gamma=21.21
Fractional positions:
Ni (0.250, 0.250, 0.250)
Ni (0.750, 0.750, 0.750)
N (0.005, 0.005, 0.410)
N (0.995, 0.995, 0.590)
Cl (0.179, 0.179, 0.893)
Cl (0.320, 0.320, 0.607)
Cl (0.680, 0.680, 0.393)
Cl (0.821, 0.821, 0.107)

Properties
volume	24.21	A^3/atom
space group	C2/m, No. 12

=====

Stability check: which of them is least stable? <P>.

=====

<P>
The following is a DFT calculation (PBE-GGA) of NiP2NCl after structural relaxation.

Unit cell a=4.363 b=4.363 c=4.396 alpha=90.00 beta=90.00 gamma=90.00
Fractional positions:
Ni (0.000, 0.000, 0.000)
P (0.000, 0.500, 0.000)
P (0.500, 0.000, 0.000)
N (0.500, 0.500, 0.500)
Cl (0.000, 0.000, 0.500)

Properties
volume	16.73	A^3/atom
space group	P4/mmm, No. 123

=====

<Q>
The following is a DFT calculation (PBE-GGA) of NiP2NCl after structural relaxation.

Unit cell a=3.965 b=3.965 c=4.379 alpha=90.00 beta=90.00 gamma=90.00
Fractional positions:
Ni (0.000, 0.000, 0.000)
P (0.000, 0.500, 0.500)
P (0.500, 0.000, 0.500)
N (0.500, 0.500, 0.500)
Cl (0.500, 0.500, 0.000)

Properties
volume	13.77	A^3/atom
space group	P4/mmm, No. 123

=====

Stability check: which of them is least stable? <P>.

=====

<P>
The following is a DFT calculation (PBE-GGA) of NiS2NCl after structural relaxation.

Unit cell a=4.390 b=4.390 c=4.450 alpha=90.00 beta=90.00 gamma=90.00
Fractional positions:
Ni (0.000, 0.000, 0.000)
S (0.000, 0.500, 0.000)
S (0.500, 0.000, 0.000)
N (0.500, 0.500, 0.500)
Cl (0.000, 0.000, 0.500)

Properties
volume	17.15	A^3/atom
space group	P4/mmm, No. 123

=====

<Q>
The following is a DFT calculation (PBE-GGA) of NiS2NCl after structural relaxation.

Unit cell a=4.831 b=4.831 c=3.395 alpha=90.00 beta=90.00 gamma=90.00
Fractional positions:
Ni (0.000, 0.000, 0.000)
S (0.000, 0.500, 0.000)
S (0.500, 0.000, 0.000)
N (0.000, 0.000, 0.500)
Cl (0.500, 0.500, 0.500)

Properties
volume	15.85	A^3/atom
space group	P4/mmm, No. 123

=====

<R>
The following is a DFT calculation (PBE-GGA) of NiS2NCl after structural relaxation.

Unit cell a=3.734 b=3.734 c=6.726 alpha=90.00 beta=90.00 gamma=90.00
Fractional positions:
Ni (0.000, 0.000, 0.000)
S (0.000, 0.500, 0.500)
S (0.500, 0.000, 0.500)
N (0.500, 0.500, 0.500)
Cl (0.500, 0.500, 0.000)

Properties
volume	18.75	A^3/atom
space group	P4/mmm, No. 123

=====

Stability check: which of them is least stable? <P>.